(1)
VASP calculation (PBE) on a geometry-optimized Nd2Ga7Pt12 structure.

Computed properties:
The calculation puts the total energy at -5.68 eV per atom. The calculation puts the total magnetization at 0.0 μB per cell.

a b c (Å): 10.099 10.099 4.110
angles (deg): 90.00 90.00 120.00
Sites, in units of the cell vectors:
Nd 0.000 0.000 0.000
Nd 0.333 0.667 0.500
Ga 0.045 0.582 0.000
Ga 0.266 0.021 0.500
Ga 0.418 0.463 0.000
Ga 0.537 0.955 0.000
Ga 0.667 0.333 0.000
Ga 0.754 0.734 0.500
Ga 0.979 0.246 0.500
Pt 0.027 0.763 0.500
Pt 0.142 0.397 0.000
Pt 0.237 0.264 0.500
Pt 0.254 0.858 0.000
Pt 0.383 0.193 0.000
Pt 0.558 0.130 0.500
Pt 0.572 0.442 0.500
Pt 0.603 0.746 0.000
Pt 0.736 0.973 0.500
Pt 0.807 0.190 0.000
Pt 0.810 0.617 0.000
Pt 0.870 0.428 0.500

(2)
VASP calculation (PBE) on a geometry-optimized MgSiSnO5 structure.

Computed properties:
The calculation puts the total energy at -6.77 eV per atom. The calculation puts the total magnetization at 0.0 μB per cell.

a b c (Å): 5.431 5.431 7.285
angles (deg): 104.74 104.74 103.17
Sites, in units of the cell vectors:
Mg 0.163 0.837 0.750
Mg 0.837 0.163 0.250
Si 0.172 0.828 0.250
Si 0.828 0.172 0.750
Sn 0.500 0.500 0.000
Sn 0.500 0.500 0.500
O 0.123 0.213 0.909
O 0.166 0.599 0.361
O 0.213 0.123 0.409
O 0.396 0.604 0.750
O 0.401 0.834 0.139
O 0.599 0.166 0.861
O 0.604 0.396 0.250
O 0.787 0.877 0.591
O 0.834 0.401 0.639
O 0.877 0.787 0.091

(3)
VASP calculation (PBE) on a geometry-optimized Ti3HgB structure.

Computed properties:
The calculation puts the energy above the most stable polymorph in this dataset at 0.0 meV per atom. The calculation puts the total energy at -6.43 eV per atom. The calculation puts the total magnetization at 0.0 μB per cell.

a b c (Å): 4.315 4.315 4.315
angles (deg): 90.00 90.00 90.00
Sites, in units of the cell vectors:
Ti 0.000 0.000 0.500
Ti 0.000 0.500 0.000
Ti 0.500 0.000 0.000
Hg 0.500 0.500 0.500
B 0.000 0.000 0.000

(4)
VASP calculation (PBE) on a geometry-optimized Sm3AlZn2 structure.

Computed properties:
The calculation puts the total energy at -3.74 eV per atom. The calculation puts the total magnetization at 0.0 μB per cell.

a b c (Å): 3.615 3.615 11.216
angles (deg): 90.00 90.00 90.00
Sites, in units of the cell vectors:
Sm 0.000 0.000 0.000
Sm 0.000 0.000 0.329
Sm 0.000 0.000 0.671
Al 0.500 0.500 0.500
Zn 0.500 0.500 0.162
Zn 0.500 0.500 0.838